(P)
The following is a DFT calculation (GGA-PBE) of an optimized crystal structure of Y3ErSb2.

Lattice parameters (Å, degrees): 8.8455 8.8455 8.8455 133.29 71.70 128.93
Closest atoms and distances in Å follow each position.
Fractional coordinates of all 12 atoms:
1 Y 0.0424 0.7500 0.2924  4 Sb 3.09
2 Y 0.2500 0.2500 0.0000  4 Sb 3.09
3 Y 0.4576 0.7500 0.7076  4 Sb 3.09
4 Y 0.5424 0.2500 0.2924  4 Sb 3.09
5 Y 0.7500 0.7500 0.0000  4 Sb 3.09
6 Y 0.9576 0.2500 0.7076  4 Sb 3.09
7 Er 0.0000 0.5000 0.5000  2 Sb 3.09
8 Er 0.5000 0.0000 0.5000  2 Sb 3.09
9 Sb 0.1464 0.1767 0.3231  1 Er 3.09, 6 Y 3.09
10 Sb 0.3536 0.6767 0.0304  1 Er 3.09, 6 Y 3.09
11 Sb 0.6464 0.3233 0.9696  1 Er 3.09, 6 Y 3.09
12 Sb 0.8536 0.8233 0.6769  1 Er 3.09, 6 Y 3.09

Summary:
total moment: 0.53 μB/f.u.
crystal system: orthorhombic
calculated density: 5.9 g cm⁻³
SG: No. 72

(Q)
The following is a DFT calculation (GGA-PBE) of an optimized crystal structure of Y3ErSb2.

Lattice parameters (Å, degrees): 4.4777 4.4777 8.4611 90.00 90.00 90.00
Closest atoms and distances in Å follow each position.
Fractional coordinates of all 6 atoms:
1 Y 0.0000 0.0000 0.0000  4 Er 3.17, 4 Sb 3.25
2 Y 0.0000 0.5000 0.6491  5 Sb 3.13-3.22
3 Y 0.5000 0.0000 0.3509  5 Sb 3.13-3.22
4 Er 0.5000 0.5000 0.0000  4 Y 3.17, 4 Sb 3.25
5 Sb 0.0000 0.5000 0.2789  7 Y 3.13-3.25, 2 Er 3.25
6 Sb 0.5000 0.0000 0.7211  7 Y 3.13-3.25, 2 Er 3.25

Summary:
total moment: 0.00 μB/f.u.
crystal system: tetragonal
calculated density: 6.6 g cm⁻³
SG: No. 115

Least stable: (P)

(P)
The following is a DFT calculation (GGA-PBE) of an optimized crystal structure of ErZrSb2.

Lattice parameters (Å, degrees): 7.6852 7.6852 7.6852 31.31 31.31 31.31
Closest atoms and distances in Å follow each position.
Fractional coordinates of all 4 atoms:
1 Er 0.0000 0.0000 0.0000  6 Sb 3.01-3.10
2 Zr 0.1714 0.1714 0.1714  6 Sb 2.95-2.99
3 Sb 0.4228 0.4228 0.4228  3 Zr 2.99, 3 Er 3.10
4 Sb 0.5837 0.5837 0.5837  3 Zr 2.95, 3 Er 3.01

Summary:
total moment: 0.23 μB/f.u.
crystal system: trigonal
calculated density: 7.7 g cm⁻³
SG: No. 160

(Q)
The following is a DFT calculation (GGA-PBE) of an optimized crystal structure of ErZrSb2.

Lattice parameters (Å, degrees): 7.4208 7.4208 7.4208 32.94 32.94 32.94
Closest atoms and distances in Å follow each position.
Fractional coordinates of all 4 atoms:
1 Er 0.0000 0.0000 0.0000  6 Sb 3.04
2 Zr 0.5000 0.5000 0.5000  6 Sb 2.95
3 Sb 0.2465 0.2465 0.2465  3 Zr 2.95, 3 Er 3.04
4 Sb 0.7535 0.7535 0.7535  3 Zr 2.95, 3 Er 3.04

Summary:
total moment: 0.00 μB/f.u.
crystal system: trigonal
calculated density: 7.8 g cm⁻³
SG: No. 166

Least stable: (P)

(P)
The following is a DFT calculation (GGA-PBE) of an optimized crystal structure of Er3Sc2.

Lattice parameters (Å, degrees): 8.5720 6.4141 9.7378 59.99 40.38 79.63
Closest atoms and distances in Å follow each position.
Fractional coordinates of all 10 atoms:
1 Er 0.0000 0.0000 0.0000  4 Sc 3.23-3.44, 6 Er 3.29-3.49
2 Er 0.1921 0.5110 0.9034  5 Sc 3.24-3.35, 5 Er 3.29-3.62
3 Er 0.2500 0.2500 0.2500  4 Sc 3.23-3.44, 6 Er 3.29-3.49
4 Er 0.3466 0.8565 0.0579  5 Sc 3.24-3.35, 5 Er 3.29-3.62
5 Er 0.5110 0.1921 0.3935  5 Sc 3.24-3.35, 5 Er 3.29-3.62
6 Er 0.8565 0.3466 0.7390  5 Sc 3.24-3.35, 5 Er 3.29-3.62
7 Sc 0.4120 0.7186 0.3846  7 Er 3.23-3.44, 3 Sc 3.29-3.44
8 Sc 0.7186 0.4120 0.4848  7 Er 3.23-3.44, 3 Sc 3.29-3.44
9 Sc 0.7652 0.8654 0.5314  7 Er 3.23-3.44, 3 Sc 3.29-3.44
10 Sc 0.8654 0.7652 0.8380  7 Er 3.23-3.44, 3 Sc 3.29-3.44

Summary:
total moment: 0.00 μB/f.u.
crystal system: orthorhombic
calculated density: 7.0 g cm⁻³
SG: No. 43

(Q)
The following is a DFT calculation (GGA-PBE) of an optimized crystal structure of Er3Sc2.

Lattice parameters (Å, degrees): 6.4253 6.4253 8.8052 107.65 107.65 55.73
Closest atoms and distances in Å follow each position.
Fractional coordinates of all 10 atoms:
1 Er 0.0272 0.3629 0.6494  6 Sc 3.33-3.49, 6 Er 3.36-3.49
2 Er 0.1751 0.8249 0.7500  6 Er 3.36-3.46, 6 Sc 3.36-3.53
3 Er 0.3629 0.0272 0.1494  6 Sc 3.33-3.49, 6 Er 3.36-3.49
4 Er 0.6371 0.9728 0.8506  6 Sc 3.33-3.49, 6 Er 3.36-3.49
5 Er 0.8249 0.1751 0.2500  6 Er 3.36-3.46, 6 Sc 3.36-3.53
6 Er 0.9728 0.6371 0.3506  6 Sc 3.33-3.49, 6 Er 3.36-3.49
7 Sc 0.2330 0.5634 0.0494  9 Er 3.33-3.53, 3 Sc 3.34-3.50
8 Sc 0.4366 0.7670 0.4506  9 Er 3.33-3.53, 3 Sc 3.34-3.50
9 Sc 0.5634 0.2330 0.5494  9 Er 3.33-3.53, 3 Sc 3.34-3.50
10 Sc 0.7670 0.4366 0.9506  9 Er 3.33-3.53, 3 Sc 3.34-3.50

Summary:
total moment: 0.00 μB/f.u.
crystal system: monoclinic
calculated density: 7.0 g cm⁻³
SG: No. 15

Least stable: (P)

(P)
The following is a DFT calculation (GGA-PBE) of an optimized crystal structure of Er3Sc.

Lattice parameters (Å, degrees): 6.4961 6.4961 6.4961 148.53 65.48 124.20
Closest atoms and distances in Å follow each position.
Fractional coordinates of all 4 atoms:
1 Er 0.0000 0.0000 0.0000  8 Er 3.38-3.52, 4 Sc 3.49-3.54
2 Er 0.4158 0.6615 0.7543  3 Sc 3.37-3.44, 9 Er 3.38-3.52
3 Er 0.9071 0.6615 0.2457  3 Sc 3.37-3.44, 9 Er 3.38-3.52
4 Sc 0.4954 0.9954 0.5000  10 Er 3.37-3.54, 2 Sc 3.52

Summary:
total moment: 0.01 μB/f.u.
crystal system: orthorhombic
calculated density: 7.8 g cm⁻³
SG: No. 44

(Q)
The following is a DFT calculation (GGA-PBE) of an optimized crystal structure of Er3Sc.

Lattice parameters (Å, degrees): 4.8731 4.8731 4.8731 90.00 90.00 90.00
Closest atoms and distances in Å follow each position.
Fractional coordinates of all 4 atoms:
1 Er 0.0000 0.0000 0.5000  8 Er 3.45, 4 Sc 3.45
2 Er 0.0000 0.5000 0.0000  8 Er 3.45, 4 Sc 3.45
3 Er 0.5000 0.0000 0.0000  8 Er 3.45, 4 Sc 3.45
4 Sc 0.5000 0.5000 0.5000  12 Er 3.45

Summary:
total moment: 0.00 μB/f.u.
crystal system: cubic
calculated density: 7.8 g cm⁻³
SG: No. 221

Least stable: (Q)

(P)
The following is a DFT calculation (GGA-PBE) of an optimized crystal structure of Er3Sc.

Lattice parameters (Å, degrees): 5.9530 5.9530 5.9530 131.55 131.55 70.94
Closest atoms and distances in Å follow each position.
Fractional coordinates of all 4 atoms:
1 Er 0.0000 0.0000 0.0000  8 Er 3.44, 4 Sc 3.45
2 Er 0.2500 0.7500 0.5000  8 Er 3.44-3.45, 4 Sc 3.44
3 Er 0.7500 0.2500 0.5000  8 Er 3.44-3.45, 4 Sc 3.44
4 Sc 0.5000 0.5000 0.0000  12 Er 3.44-3.45

Summary:
total moment: 0.00 μB/f.u.
crystal system: tetragonal
calculated density: 7.8 g cm⁻³
SG: No. 139

(Q)
The following is a DFT calculation (GGA-PBE) of an optimized crystal structure of Er3Sc.

Lattice parameters (Å, degrees): 7.0246 7.0246 5.4670 90.00 90.00 120.00
Closest atoms and distances in Å follow each position.
Fractional coordinates of all 8 atoms:
1 Er 0.1688 0.3375 0.2500  4 Sc 3.39-3.51, 8 Er 3.42-3.56
2 Er 0.1688 0.8312 0.2500  4 Sc 3.39-3.51, 8 Er 3.42-3.56
3 Er 0.3375 0.1688 0.7500  4 Sc 3.39-3.51, 8 Er 3.42-3.56
4 Er 0.6625 0.8312 0.2500  4 Sc 3.39-3.51, 8 Er 3.42-3.56
5 Er 0.8312 0.1688 0.7500  4 Sc 3.39-3.51, 8 Er 3.42-3.56
6 Er 0.8312 0.6625 0.7500  4 Sc 3.39-3.51, 8 Er 3.42-3.56
7 Sc 0.3333 0.6667 0.7500  12 Er 3.39-3.51
8 Sc 0.6667 0.3333 0.2500  12 Er 3.39-3.51

Summary:
total moment: 0.00 μB/f.u.
crystal system: hexagonal
calculated density: 7.8 g cm⁻³
SG: No. 194

Least stable: (P)

(P)
The following is a DFT calculation (GGA-PBE) of an optimized crystal structure of Er3Sc.

Lattice parameters (Å, degrees): 5.4939 5.4939 5.4939 60.00 60.00 60.00
Closest atoms and distances in Å follow each position.
Fractional coordinates of all 4 atoms:
1 Er 0.0000 0.0000 0.0000  8 Er 3.36
2 Er 0.2500 0.2500 0.2500  4 Er 3.36, 4 Sc 3.36
3 Er 0.7500 0.7500 0.7500  4 Sc 3.36, 4 Er 3.36
4 Sc 0.5000 0.5000 0.5000  8 Er 3.36

Summary:
total moment: 0.03 μB/f.u.
crystal system: cubic
calculated density: 7.7 g cm⁻³
SG: No. 225

(Q)
The following is a DFT calculation (GGA-PBE) of an optimized crystal structure of Er3Sc.

Lattice parameters (Å, degrees): 3.5233 5.4542 6.0892 90.00 90.00 90.00
Closest atoms and distances in Å follow each position.
Fractional coordinates of all 4 atoms:
1 Er 0.0000 0.0000 0.0000  8 Er 3.40-3.52, 4 Sc 3.50-3.53
2 Er 0.0000 0.5000 0.3381  4 Sc 3.40, 8 Er 3.42-3.55
3 Er 0.5000 0.5000 0.8317  2 Sc 3.38, 10 Er 3.40-3.55
4 Sc 0.5000 0.0000 0.5031  10 Er 3.38-3.53, 2 Sc 3.52

Summary:
total moment: 0.00 μB/f.u.
crystal system: orthorhombic
calculated density: 7.8 g cm⁻³
SG: No. 25

Least stable: (P)